A) Tb2PrHo6: optimized geometry, PBE.

Summary:
Space group ... R3m

```
data_Tb2PrHo6
_chemical_formula_sum 'Tb2 Pr1 Ho6'
_cell_length_a 7.3476
_cell_length_b 7.3476
_cell_length_c 7.6335
_cell_angle_alpha 61.23
_cell_angle_beta 61.23
_cell_angle_gamma 60.00
_symmetry_space_group_name_H-M 'P 1'
_symmetry_Int_Tables_number 1
_symmetry_space_group_name_Hall 'P 1'
loop_
_atom_site_label
_atom_site_type_symbol
_atom_site_fract_x
_atom_site_fract_y
_atom_site_fract_z
Tb1 Tb 0.7556 0.7556 0.7332
Tb2 Tb 0.5797 0.5797 0.2609
Pr1 Pr 0.3168 0.3168 0.0497
Ho1 Ho 0.7831 0.2605 0.6957
Ho2 Ho 0.2607 0.7831 0.6957
Ho3 Ho 0.2605 0.2607 0.6957
Ho4 Ho 0.0474 0.6142 0.2907
Ho5 Ho 0.0477 0.0474 0.2907
Ho6 Ho 0.6142 0.0477 0.2907
```

=====

B) Tb2PrHo6: optimized geometry, PBE.

Summary:
Space group ... Cmmm

```
data_Tb2PrHo6
_chemical_formula_sum 'Tb2 Pr1 Ho6'
_cell_length_a 3.4729
_cell_length_b 5.6226
_cell_length_c 17.2026
_cell_angle_alpha 119.36
_cell_angle_beta 101.66
_cell_angle_gamma 89.97
_symmetry_space_group_name_H-M 'P 1'
_symmetry_Int_Tables_number 1
_symmetry_space_group_name_Hall 'P 1'
loop_
_atom_site_label
_atom_site_type_symbol
_atom_site_fract_x
_atom_site_fract_y
_atom_site_fract_z
Tb1 Tb 0.8349 0.5014 0.8343
Tb2 Tb 0.1651 0.4986 0.1657
Pr1 Pr 0.5000 0.5000 0.5000
Ho1 Ho 0.4456 0.1686 0.9457
Ho2 Ho 0.5544 0.8314 0.0543
Ho3 Ho 0.7739 0.1623 0.2748
Ho4 Ho 0.1133 0.1696 0.6131
Ho5 Ho 0.2261 0.8377 0.7252
Ho6 Ho 0.8867 0.8304 0.3869
```

=====

Which of them is least stable? Easy: A).

=====

A) Tb3Pr8Ho4: optimized geometry, PBE.

Summary:
Space group ... R-3m

```
data_Tb3Pr8Ho4
_chemical_formula_sum 'Tb3 Pr8 Ho4'
_cell_length_a 7.0637
_cell_length_b 7.0637
_cell_length_c 12.6812
_cell_angle_alpha 73.83
_cell_angle_beta 73.83
_cell_angle_gamma 60.00
_symmetry_space_group_name_H-M 'P 1'
_symmetry_Int_Tables_number 1
_symmetry_space_group_name_Hall 'P 1'
loop_
_atom_site_label
_atom_site_type_symbol
_atom_site_fract_x
_atom_site_fract_y
_atom_site_fract_z
Tb1 Tb 0.5000 0.0000 0.5000
Tb2 Tb 0.0000 0.0000 0.5000
Tb3 Tb 0.0000 0.5000 0.5000
Pr1 Pr 0.2459 0.2459 0.2622
Pr2 Pr 0.2488 0.7507 0.2499
Pr3 Pr 0.7507 0.7507 0.2499
Pr4 Pr 0.7507 0.2488 0.2499
Pr5 Pr 0.7541 0.7541 0.7378
Pr6 Pr 0.7512 0.2493 0.7501
Pr7 Pr 0.2493 0.2493 0.7501
Pr8 Pr 0.2493 0.7512 0.7501
Ho1 Ho 0.0000 0.0000 0.0000
Ho2 Ho 0.3354 0.3354 0.9939
Ho3 Ho 0.5000 0.5000 0.5000
Ho4 Ho 0.6646 0.6646 0.0061
```

=====

B) Tb3Pr8Ho4: optimized geometry, PBE.

Summary:
Space group ... C2/m

```
data_Tb3Pr8Ho4
_chemical_formula_sum 'Tb3 Pr8 Ho4'
_cell_length_a 6.9253
_cell_length_b 9.3834
_cell_length_c 9.3834
_cell_angle_alpha 81.66
_cell_angle_beta 112.53
_cell_angle_gamma 112.53
_symmetry_space_group_name_H-M 'P 1'
_symmetry_Int_Tables_number 1
_symmetry_space_group_name_Hall 'P 1'
loop_
_atom_site_label
_atom_site_type_symbol
_atom_site_fract_x
_atom_site_fract_y
_atom_site_fract_z
Tb1 Tb 0.5000 0.5000 0.0000
Tb2 Tb 0.5000 0.0000 0.5000
Tb3 Tb 0.5000 0.5000 0.5000
Pr1 Pr 0.7722 0.2947 0.2947
Pr2 Pr 0.0000 0.7052 0.2948
Pr3 Pr 0.2113 0.2448 0.2448
Pr4 Pr 0.5000 0.7541 0.2459
Pr5 Pr 0.5000 0.2459 0.7541
Pr6 Pr 0.7887 0.7552 0.7552
Pr7 Pr 0.0000 0.2948 0.7052
Pr8 Pr 0.2278 0.7053 0.7053
Ho1 Ho 0.5000 0.0000 0.0000
Ho2 Ho 0.0000 0.5000 0.0000
Ho3 Ho 0.0000 0.0000 0.0000
Ho4 Ho 0.0000 0.0000 0.5000
```

=====

Which of them is least stable? Easy: B).

=====

A) Tb2Pr3Ho4: optimized geometry, PBE.

Summary:
Space group ... C2/m

```
data_Tb2Pr3Ho4
_chemical_formula_sum 'Tb2 Pr3 Ho4'
_cell_length_a 3.5984
_cell_length_b 6.2201
_cell_length_c 15.2543
_cell_angle_alpha 65.87
_cell_angle_beta 90.00
_cell_angle_gamma 106.81
_symmetry_space_group_name_H-M 'P 1'
_symmetry_Int_Tables_number 1
_symmetry_space_group_name_Hall 'P 1'
loop_
_atom_site_label
_atom_site_type_symbol
_atom_site_fract_x
_atom_site_fract_y
_atom_site_fract_z
Tb1 Tb 0.3327 0.6655 0.2204
Tb2 Tb 0.6673 0.3345 0.7796
Pr1 Pr 0.3339 0.6677 0.5572
Pr2 Pr 0.0000 0.0000 0.0000
Pr3 Pr 0.6661 0.3323 0.4428
Ho1 Ho 0.6668 0.3335 0.1108
Ho2 Ho 0.9999 0.9997 0.6707
Ho3 Ho 0.0001 0.0003 0.3293
Ho4 Ho 0.3332 0.6665 0.8892
```

=====

B) Tb2Pr3Ho4: optimized geometry, PBE.

Summary:
Space group ... C2/c

```
data_Tb2Pr3Ho4
_chemical_formula_sum 'Tb4 Pr6 Ho8'
_cell_length_a 6.0785
_cell_length_b 11.2796
_cell_length_c 11.2796
_cell_angle_alpha 62.80
_cell_angle_beta 64.05
_cell_angle_gamma 64.05
_symmetry_space_group_name_H-M 'P 1'
_symmetry_Int_Tables_number 1
_symmetry_space_group_name_Hall 'P 1'
loop_
_atom_site_label
_atom_site_type_symbol
_atom_site_fract_x
_atom_site_fract_y
_atom_site_fract_z
Tb1 Tb 0.4225 0.2529 0.5134
Tb2 Tb 0.0775 0.4866 0.7471
Tb3 Tb 0.5775 0.7471 0.4866
Tb4 Tb 0.9225 0.5134 0.2529
Pr1 Pr 0.7516 0.0574 0.2752
Pr2 Pr 0.7484 0.7248 0.9426
Pr3 Pr 0.2484 0.9426 0.7248
Pr4 Pr 0.2516 0.2752 0.0574
Pr5 Pr 0.2500 0.6100 0.3900
Pr6 Pr 0.7500 0.3900 0.6100
Ho1 Ho 0.4211 0.9203 0.1812
Ho2 Ho 0.0789 0.8188 0.0797
Ho3 Ho 0.5789 0.0797 0.8188
Ho4 Ho 0.9211 0.1812 0.9203
Ho5 Ho 0.0817 0.1500 0.4137
Ho6 Ho 0.4183 0.5863 0.8500
Ho7 Ho 0.9183 0.8500 0.5863
Ho8 Ho 0.5817 0.4137 0.1500
```

=====

Which of them is least stable? Easy: B).

=====

A) TbPr2Ho4: optimized geometry, PBE.

Summary:
Space group ... I4/mmm

```
data_TbPr2Ho4
_chemical_formula_sum 'Tb1 Pr2 Ho4'
_cell_length_a 6.8243
_cell_length_b 6.8243
_cell_length_c 6.8243
_cell_angle_alpha 103.35
_cell_angle_beta 103.35
_cell_angle_gamma 122.56
_symmetry_space_group_name_H-M 'P 1'
_symmetry_Int_Tables_number 1
_symmetry_space_group_name_Hall 'P 1'
loop_
_atom_site_label
_atom_site_type_symbol
_atom_site_fract_x
_atom_site_fract_y
_atom_site_fract_z
Tb1 Tb 0.5000 0.5000 0.0000
Pr1 Pr 0.2500 0.7500 0.5000
Pr2 Pr 0.7500 0.2500 0.5000
Ho1 Ho 0.1980 0.1980 0.3960
Ho2 Ho 0.8020 0.1980 0.0000
Ho3 Ho 0.1980 0.8020 0.0000
Ho4 Ho 0.8020 0.8020 0.6040
```

=====

B) TbPr2Ho4: optimized geometry, PBE.

Summary:
Space group ... P1

```
data_TbPr2Ho4
_chemical_formula_sum 'Tb2 Pr4 Ho8'
_cell_length_a 9.6545
_cell_length_b 6.7912
_cell_length_c 9.6510
_cell_angle_alpha 95.89
_cell_angle_beta 120.07
_cell_angle_gamma 113.90
_symmetry_space_group_name_H-M 'P 1'
_symmetry_Int_Tables_number 1
_symmetry_space_group_name_Hall 'P 1'
loop_
_atom_site_label
_atom_site_type_symbol
_atom_site_fract_x
_atom_site_fract_y
_atom_site_fract_z
Tb1 Tb 0.6852 0.4956 0.2082
Tb2 Tb 0.9957 0.0002 0.9737
Pr1 Pr 0.5646 0.9994 0.6828
Pr2 Pr 0.5416 0.5001 0.7811
Pr3 Pr 0.8505 0.9989 0.5383
Pr4 Pr 0.2578 0.5020 0.9264
Ho1 Ho 0.9734 0.5045 0.0687
Ho2 Ho 0.8281 0.5026 0.6365
Ho3 Ho 0.3949 0.4937 0.3472
Ho4 Ho 0.1115 0.5003 0.4907
Ho5 Ho 0.4215 0.0037 0.2559
Ho6 Ho 0.7127 0.0071 0.1177
Ho7 Ho 0.2780 0.9955 0.8269
Ho8 Ho 0.1345 0.9962 0.3959
```

=====

Which of them is least stable? Easy: A).

=====

A) TbPr12Ho6: optimized geometry, PBE.

Summary:
Space group ... R-3

```
data_TbPr12Ho6
_chemical_formula_sum 'Tb1 Pr12 Ho6'
_cell_length_a 9.6448
_cell_length_b 9.6448
_cell_length_c 9.6448
_cell_angle_alpha 110.88
_cell_angle_beta 110.88
_cell_angle_gamma 110.88
_symmetry_space_group_name_H-M 'P 1'
_symmetry_Int_Tables_number 1
_symmetry_space_group_name_Hall 'P 1'
loop_
_atom_site_label
_atom_site_type_symbol
_atom_site_fract_x
_atom_site_fract_y
_atom_site_fract_z
Tb1 Tb 0.0000 0.0000 0.0000
Pr1 Pr 0.3720 0.0575 0.5804
Pr2 Pr 0.0575 0.5804 0.3720
Pr3 Pr 0.5804 0.3720 0.0575
Pr4 Pr 0.6280 0.9425 0.4196
Pr5 Pr 0.9425 0.4196 0.6280
Pr6 Pr 0.4196 0.6280 0.9425
Pr7 Pr 0.1042 0.1570 0.7374
Pr8 Pr 0.2626 0.8958 0.8430
Pr9 Pr 0.8430 0.2626 0.8958
Pr10 Pr 0.8958 0.8430 0.2626
Pr11 Pr 0.7374 0.1042 0.1570
Pr12 Pr 0.1570 0.7374 0.1042
Ho1 Ho 0.2145 0.3176 0.4715
Ho2 Ho 0.6824 0.5285 0.7855
Ho3 Ho 0.5285 0.7855 0.6824
Ho4 Ho 0.7855 0.6824 0.5285
Ho5 Ho 0.3176 0.4715 0.2145
Ho6 Ho 0.4715 0.2145 0.3176
```

=====

B) TbPr12Ho6: optimized geometry, PBE.

Summary:
Space group ... R-3

```
data_TbPr12Ho6
_chemical_formula_sum 'Tb1 Pr12 Ho6'
_cell_length_a 8.7309
_cell_length_b 8.7309
_cell_length_c 8.7309
_cell_angle_alpha 88.91
_cell_angle_beta 88.91
_cell_angle_gamma 88.91
_symmetry_space_group_name_H-M 'P 1'
_symmetry_Int_Tables_number 1
_symmetry_space_group_name_Hall 'P 1'
loop_
_atom_site_label
_atom_site_type_symbol
_atom_site_fract_x
_atom_site_fract_y
_atom_site_fract_z
Tb1 Tb 0.0000 0.0000 0.0000
Pr1 Pr 0.7827 0.5355 0.4332
Pr2 Pr 0.4332 0.7827 0.5355
Pr3 Pr 0.5355 0.4332 0.7827
Pr4 Pr 0.2173 0.4645 0.5668
Pr5 Pr 0.5668 0.2173 0.4645
Pr6 Pr 0.4645 0.5668 0.2173
Pr7 Pr 0.0188 0.1925 0.3640
Pr8 Pr 0.8075 0.6360 0.9812
Pr9 Pr 0.6360 0.9812 0.8075
Pr10 Pr 0.9812 0.8075 0.6360
Pr11 Pr 0.1925 0.3640 0.0188
Pr12 Pr 0.3640 0.0188 0.1925
Ho1 Ho 0.7414 0.9002 0.2946
Ho2 Ho 0.7054 0.2586 0.0998
Ho3 Ho 0.0998 0.7054 0.2586
Ho4 Ho 0.2586 0.0998 0.7054
Ho5 Ho 0.2946 0.7414 0.9002
Ho6 Ho 0.9002 0.2946 0.7414
```

=====

Which of them is least stable? Easy: B).

=====

A) Tb6PrHo2: optimized geometry, PBE.

Summary:
Space group ... P-1

```
data_Tb6PrHo2
_chemical_formula_sum 'Tb6 Pr1 Ho2'
_cell_length_a 3.5736
_cell_length_b 8.7360
_cell_length_c 12.8475
_cell_angle_alpha 132.72
_cell_angle_beta 81.99
_cell_angle_gamma 90.06
_symmetry_space_group_name_H-M 'P 1'
_symmetry_Int_Tables_number 1
_symmetry_space_group_name_Hall 'P 1'
loop_
_atom_site_label
_atom_site_type_symbol
_atom_site_fract_x
_atom_site_fract_y
_atom_site_fract_z
Tb1 Tb 0.8889 0.5574 0.2226
Tb2 Tb 0.1111 0.4426 0.7774
Tb3 Tb 0.6676 0.6639 0.6643
Tb4 Tb 0.7783 0.1091 0.4438
Tb5 Tb 0.2217 0.8909 0.5562
Tb6 Tb 0.3324 0.3361 0.3357
Pr1 Pr 0.0000 0.0000 0.0000
Ho1 Ho 0.4442 0.7755 0.1116
Ho2 Ho 0.5558 0.2245 0.8884
```

=====

B) Tb6PrHo2: optimized geometry, PBE.

Summary:
Space group ... C2/c

```
data_Tb6PrHo2
_chemical_formula_sum 'Tb12 Pr2 Ho4'
_cell_length_a 6.6038
_cell_length_b 9.5722
_cell_length_c 9.5722
_cell_angle_alpha 95.82
_cell_angle_beta 81.08
_cell_angle_gamma 81.08
_symmetry_space_group_name_H-M 'P 1'
_symmetry_Int_Tables_number 1
_symmetry_space_group_name_Hall 'P 1'
loop_
_atom_site_label
_atom_site_type_symbol
_atom_site_fract_x
_atom_site_fract_y
_atom_site_fract_z
Tb1 Tb 0.5015 0.6486 0.2806
Tb2 Tb 0.9985 0.7194 0.3514
Tb3 Tb 0.4985 0.3514 0.7194
Tb4 Tb 0.0015 0.2806 0.6486
Tb5 Tb 0.7275 0.0604 0.4627
Tb6 Tb 0.7725 0.5373 0.9396
Tb7 Tb 0.2725 0.9396 0.5373
Tb8 Tb 0.2275 0.4627 0.0604
Tb9 Tb 0.3222 0.7780 0.9506
Tb10 Tb 0.1778 0.0494 0.2220
Tb11 Tb 0.6778 0.2220 0.0494
Tb12 Tb 0.8222 0.9506 0.7780
Pr1 Pr 0.2500 0.1222 0.8778
Pr2 Pr 0.7500 0.8778 0.1222
Ho1 Ho 0.1336 0.6159 0.6639
Ho2 Ho 0.3664 0.3361 0.3841
Ho3 Ho 0.8664 0.3841 0.3361
Ho4 Ho 0.6336 0.6639 0.6159
```

=====

Which of them is least stable? Easy: B).

=====

A) Tb4Pr3Ho5: optimized geometry, PBE.

Summary:
Space group ... P-1

```
data_Tb4Pr3Ho5
_chemical_formula_sum 'Tb4 Pr3 Ho5'
_cell_length_a 7.1641
_cell_length_b 11.3267
_cell_length_c 12.9151
_cell_angle_alpha 151.30
_cell_angle_beta 56.44
_cell_angle_gamma 129.20
_symmetry_space_group_name_H-M 'P 1'
_symmetry_Int_Tables_number 1
_symmetry_space_group_name_Hall 'P 1'
loop_
_atom_site_label
_atom_site_type_symbol
_atom_site_fract_x
_atom_site_fract_y
_atom_site_fract_z
Tb1 Tb 0.9180 0.8360 0.6690
Tb2 Tb 0.8318 0.6647 0.8332
Tb3 Tb 0.1682 0.3353 0.1668
Tb4 Tb 0.0820 0.1640 0.3310
Pr1 Pr 0.5847 0.1671 0.3331
Pr2 Pr 0.0000 0.0000 0.5000
Pr3 Pr 0.4153 0.8329 0.6669
Ho1 Ho 0.3317 0.6676 0.8355
Ho2 Ho 0.5000 0.0000 0.5000
Ho3 Ho 0.7491 0.5016 0.0013
Ho4 Ho 0.2509 0.4984 0.9987
Ho5 Ho 0.6683 0.3324 0.1645
```

=====

B) Tb4Pr3Ho5: optimized geometry, PBE.

Summary:
Space group ... C2/m

```
data_Tb4Pr3Ho5
_chemical_formula_sum 'Tb4 Pr3 Ho5'
_cell_length_a 5.7537
_cell_length_b 9.6899
_cell_length_c 9.5694
_cell_angle_alpha 114.77
_cell_angle_beta 72.50
_cell_angle_gamma 72.73
_symmetry_space_group_name_H-M 'P 1'
_symmetry_Int_Tables_number 1
_symmetry_space_group_name_Hall 'P 1'
loop_
_atom_site_label
_atom_site_type_symbol
_atom_site_fract_x
_atom_site_fract_y
_atom_site_fract_z
Tb1 Tb 0.0448 0.1576 0.7527
Tb2 Tb 0.1618 0.8095 0.8670
Tb3 Tb 0.8382 0.1905 0.1330
Tb4 Tb 0.9552 0.8424 0.2473
Pr1 Pr 0.4744 0.7116 0.3397
Pr2 Pr 0.0000 0.5000 0.5000
Pr3 Pr 0.5256 0.2884 0.6603
Ho1 Ho 0.6745 0.9319 0.7190
Ho2 Ho 0.5000 0.5000 0.5000
Ho3 Ho 0.2770 0.3750 0.0709
Ho4 Ho 0.7230 0.6250 0.9291
Ho5 Ho 0.3255 0.0681 0.2810
```

=====

Which of them is least stable? Easy: B).

=====

A) Tb5PrHo6: optimized geometry, PBE.

Summary:
Space group ... Immm

```
data_Tb5PrHo6
_chemical_formula_sum 'Tb5 Pr1 Ho6'
_cell_length_a 10.1424
_cell_length_b 10.1424
_cell_length_c 5.7884
_cell_angle_alpha 106.58
_cell_angle_beta 106.58
_cell_angle_gamma 124.80
_symmetry_space_group_name_H-M 'P 1'
_symmetry_Int_Tables_number 1
_symmetry_space_group_name_Hall 'P 1'
loop_
_atom_site_label
_atom_site_type_symbol
_atom_site_fract_x
_atom_site_fract_y
_atom_site_fract_z
Pr1 Pr 0.0000 0.0000 0.0000
Tb1 Tb 0.8463 0.1537 0.5000
Tb2 Tb 0.6528 0.3472 0.0000
Tb3 Tb 0.5000 0.5000 0.5000
Tb4 Tb 0.3472 0.6528 0.0000
Tb5 Tb 0.1537 0.8463 0.5000
Ho1 Ho 0.4318 0.0682 0.2500
Ho2 Ho 0.9318 0.5682 0.7500
Ho3 Ho 0.2509 0.2509 0.7509
Ho4 Ho 0.7491 0.7491 0.2491
Ho5 Ho 0.0682 0.4318 0.2500
Ho6 Ho 0.5682 0.9318 0.7500
```

=====

B) Tb5PrHo6: optimized geometry, PBE.

Summary:
Space group ... C2/m

```
data_Tb5PrHo6
_chemical_formula_sum 'Tb5 Pr1 Ho6'
_cell_length_a 11.7625
_cell_length_b 6.1590
_cell_length_c 6.1556
_cell_angle_alpha 59.98
_cell_angle_beta 85.01
_cell_angle_gamma 80.00
_symmetry_space_group_name_H-M 'P 1'
_symmetry_Int_Tables_number 1
_symmetry_space_group_name_Hall 'P 1'
loop_
_atom_site_label
_atom_site_type_symbol
_atom_site_fract_x
_atom_site_fract_y
_atom_site_fract_z
Tb1 Tb 0.5000 0.1669 0.6662
Tb2 Tb 0.0000 0.3333 0.3334
Tb3 Tb 0.5000 0.5000 0.0000
Tb4 Tb 0.0000 0.6667 0.6666
Tb5 Tb 0.5000 0.8331 0.3338
Pr1 Pr 0.0000 0.0000 0.0000
Ho1 Ho 0.7485 0.0833 0.3340
Ho2 Ho 0.2515 0.5826 0.3340
Ho3 Ho 0.2514 0.2508 0.0000
Ho4 Ho 0.7486 0.7492 0.0000
Ho5 Ho 0.7485 0.4174 0.6660
Ho6 Ho 0.2515 0.9167 0.6660
```

=====

Which of them is least stable? Easy: A).